Entry 1:
Here is a relaxed Tl2CuSnBr6 crystal from Alexandria via LeMat-Bulk. Energies are from PBE-GGA.

Results
formation energy from raw total energies = -661 meV/atom
electronic total energy = -2.9475 eV per atom

Structure (extended XYZ):
```
20
Lattice="7.525 0.000 -0.031 0.000 7.753 0.000 0.022 0.000 10.799" Properties=species:S:1:pos:R:3 pbc="T T T"
Br 3.288 7.692 7.967
Br 1.667 1.559 5.053
Br 1.510 1.721 0.356
Br 2.107 5.436 0.331
Br 6.037 6.032 10.412
Br 5.881 6.194 5.714
Br 5.440 2.317 10.437
Br 2.263 5.597 5.028
Br 0.508 3.816 8.216
Br 5.284 2.156 5.740
Br 7.039 3.937 2.552
Br 4.260 0.061 2.801
Cu 0.000 3.876 0.000
Cu 3.774 0.000 5.384
Tl 3.633 3.381 2.699
Tl 3.914 4.372 8.069
Tl 7.407 0.495 8.082
Tl 0.140 7.257 2.685
Sn 0.011 3.876 5.399
Sn 3.762 0.000 -0.016
```

***

Entry 2:
Here is a relaxed Tl2CuSnBr crystal from Alexandria via LeMat-Bulk. Energies are from PBE-GGA.

Results
formation energy from raw total energies = 343 meV/atom
electronic total energy = -2.5584 eV per atom

Structure (extended XYZ):
```
5
Lattice="6.220 0.000 0.000 0.000 4.478 0.000 0.000 0.000 6.220" Properties=species:S:1:pos:R:3 pbc="T T T"
Cu 0.000 2.239 0.000
Tl 3.110 0.000 0.000
Tl 0.000 0.000 3.110
Br 0.000 0.000 0.000
Sn 3.110 2.239 3.110
```

***

Entry 3:
Here is a relaxed Tl3Cu2SnBr9 crystal from Alexandria via LeMat-Bulk. Energies are from PBE-GGA.

Results
formation energy from raw total energies = -596 meV/atom
electronic total energy = -2.8858 eV per atom

Structure (extended XYZ):
```
15
Lattice="7.518 0.000 0.000 -3.759 6.511 0.000 0.000 0.000 9.304" Properties=species:S:1:pos:R:3 pbc="T T T"
Cu 0.000 4.340 1.427
Cu 3.759 2.170 7.876
Tl 3.759 2.170 2.637
Tl 0.000 4.340 6.666
Tl 0.000 0.000 0.000
Br 1.829 5.396 3.025
Br 3.759 4.282 6.279
Br -1.829 5.396 3.025
Br 1.879 3.255 0.000
Br 3.759 0.000 0.000
Br -1.879 3.255 0.000
Br 5.588 1.114 6.279
Br 0.000 2.228 3.025
Br 1.930 1.114 6.279
Sn 0.000 0.000 4.652
```

***

The lowest electronic total energy belongs to which entry?
Tl2CuSnBr6